Density functional theory data (GGA-PBE) for an optimized crystal structure of Cd2TeOs.

Cell lengths 3.0396, 4.2054, 6.6472 Å; angles 90.00, 90.00, 90.00 degrees
Last column: nearest neighbours and their distance in Å.
Space group Pmmm (No. 47)
Symmetry-distinct sites (fractional):
Cd  0.0000  0.0000  0.2063 [2 per cell]  3 Cd 2.74-3.04, 4 Os 2.93
Te  0.5000  0.5000  0.5000 [1 per cell]  2 Te 3.04, 8 Cd 3.25, 2 Os 3.32
Os  0.5000  0.5000  0.0000 [1 per cell]  8 Cd 2.93, 2 Os 3.04

Total DFT energy (no corrections) ... -3.40 eV/atom
Size of the total moment ... 0.67 μB/f.u.
Volume ... 21.24 Å³/atom
ΔE_f (raw) ... 646.7 meV/atom